1.
La4Pr2Nd2Dy GGA-PBE optimized geometry; energy of formation from the pure elements = 0.0160 eV/atom; uncorrected energy = -4.807 eV/atom
1.0
7.8612 -2.6232 0.0000
7.8612 2.6232 0.0000
-2.6398 0.0000 7.8214
La Pr Nd Dy
4 2 2 1
direct
0.0550 0.0550 0.3309
0.2781 0.2781 0.6687
0.7219 0.7219 0.3313
0.9450 0.9450 0.6691
0.3883 0.3883 0.3301
0.6117 0.6117 0.6699
0.1657 0.1657 0.0006
0.8343 0.8343 0.9994
0.5000 0.5000 0.0000

=====

2.
LaPrNd3Dy GGA-PBE optimized geometry; energy of formation from the pure elements = 0.0171 eV/atom; uncorrected energy = -4.752 eV/atom
1.0
8.2015 0.0000 0.0000
0.0000 5.2176 0.0000
-3.2862 0.0000 9.8585
La Pr Nd Dy
2 2 6 2
direct
0.1668 0.2500 0.2901
0.8332 0.7500 0.7099
0.4998 0.2500 0.6279
0.5002 0.7500 0.3721
0.1678 0.7500 0.5442
0.1698 0.2500 0.7937
0.1707 0.7500 0.0404
0.8293 0.2500 0.9596
0.8302 0.7500 0.2063
0.8322 0.2500 0.4558
0.4976 0.7500 0.8778
0.5024 0.2500 0.1222

=====

3.
LaPr2Nd5Dy GGA-PBE optimized geometry; energy of formation from the pure elements = 0.2573 eV/atom; uncorrected energy = -4.512 eV/atom
1.0
-4.4871 4.4871 7.9977
4.4871 -4.4871 7.9977
4.4871 4.4871 -7.9977
La Pr Nd Dy
2 4 10 2
direct
0.2500 0.2500 0.0000
0.7500 0.7500 0.0000
0.1179 0.6179 0.7359
0.3821 0.1179 0.5000
0.6179 0.8821 0.5000
0.8821 0.3821 0.2641
0.0000 0.0000 0.0000
0.0703 0.1529 0.5000
0.1529 0.6529 0.0826
0.3471 0.4297 0.5000
0.4297 0.9297 0.0826
0.5000 0.5000 0.0000
0.5703 0.0703 0.9174
0.6529 0.5703 0.5000
0.8471 0.3471 0.9174
0.9297 0.8471 0.5000
0.2500 0.7500 0.5000
0.7500 0.2500 0.5000

=====

4.
LaPrNd5Dy2 GGA-PBE optimized geometry; energy of formation from the pure elements = 0.2634 eV/atom; uncorrected energy = -4.487 eV/atom
1.0
-4.4234 4.4234 8.1306
4.4234 -4.4234 8.1306
4.4234 4.4234 -8.1306
La Pr Nd Dy
2 2 10 4
direct
0.2500 0.2500 0.0000
0.7500 0.7500 0.0000
0.2500 0.7500 0.5000
0.7500 0.2500 0.5000
0.0000 0.0000 0.0000
0.0634 0.5634 0.8937
0.1697 0.0634 0.5000
0.3303 0.8303 0.8937
0.4366 0.3303 0.5000
0.5000 0.5000 0.0000
0.5634 0.6697 0.5000
0.6697 0.1697 0.1063
0.8303 0.9366 0.5000
0.9366 0.4366 0.1063
0.1197 0.3803 0.5000
0.3803 0.8803 0.2605
0.6197 0.1197 0.7395
0.8803 0.6197 0.5000

=====

5.
La6PrNdDy2 GGA-PBE optimized geometry; energy of formation from the pure elements = 0.1832 eV/atom; uncorrected energy = -4.648 eV/atom
1.0
5.6774 -3.6301 0.0000
5.6774 3.6301 0.0000
-1.9781 0.0000 8.7776
La Pr Nd Dy
6 1 1 2
direct
0.0990 0.5438 0.1986
0.1399 0.1399 0.4385
0.4562 0.9010 0.8014
0.5438 0.0990 0.1986
0.8601 0.8601 0.5615
0.9010 0.4562 0.8014
0.0000 0.0000 0.0000
0.5000 0.5000 0.5000
0.4073 0.4073 0.8415
0.5927 0.5927 0.1585

=====

6.
LaPr4Nd2Dy GGA-PBE optimized geometry; energy of formation from the pure elements = 0.0156 eV/atom; uncorrected energy = -4.757 eV/atom
1.0
6.3670 0.0000 0.0000
0.0000 3.7033 0.0000
-2.1845 0.0000 12.0676
La Pr Nd Dy
1 4 2 1
direct
0.0000 0.0000 0.0000
0.2510 0.0000 0.7519
0.2510 0.5000 0.2502
0.7490 0.0000 0.2481
0.7490 0.5000 0.7498
0.0000 0.5000 0.5000
0.5000 0.0000 0.5000
0.5000 0.5000 0.0000

=====

no.,Fermi-level density of states (states/eV per cell)
1,16.06
2,19.10
3,27.24
4,28.98
5,19.39
6,13.29